PBE with a Hubbard U SmUCo2O8, relaxed; calculated total energy = -90.38 eV/cell; SG = I-4m2 (119); crystal system = tetragonal; mass density = 6.6 g/cm3
1.0
5.9312 0.1861 0.0000
-2.4639 5.3985 0.0000
-1.7337 -2.7923 4.9408
O Co Sm U
8 2 1 1
Direct
0.3053 0.1358 0.8305
0.9400 0.2416 0.3016
0.5252 0.6947 0.8305
0.3617 0.0600 0.3016
0.9400 0.6383 0.6984
0.7584 0.0600 0.6984
0.3053 0.4748 0.1695
0.8642 0.6947 0.1695
0.7500 0.2500 0.5000
0.5000 0.5000 0.0000
0.2500 0.7500 0.5000
0.0000 0.0000 0.0000